Ac2AgHg6 PBE optimized geometry; total energy = -1.76 eV per atom; E_form = -0.33 eV/atom; size of the total moment = 0.000 μB per atom
1.0
5.954 -3.429 0.000
5.954 3.429 0.000
-0.015 0.000 5.995
Ac Ag Hg
2 1 6
Cartesian
1.978 0.000 1.100
9.914 0.000 4.894
5.954 0.000 0.000
4.880 1.841 1.890
3.803 0.000 4.110
7.012 1.841 4.105
4.880 -1.841 1.890
8.089 0.000 1.885
7.012 -1.841 4.105